Model one:
Compound: Ba4CaRh4O12
Source: Alexandria via LeMat-Bulk
Functional: GGA-PBE
Structure: relaxed

CIF file:
```
data_Ba4CaRh4O12
_symmetry_space_group_name_H-M 'P 1'
_symmetry_Int_Tables_number 1
_cell_length_a 5.966
_cell_length_b 5.966
_cell_length_c 10.480
_cell_angle_alpha 100.07
_cell_angle_beta 100.07
_cell_angle_gamma 57.90
loop_
_symmetry_equiv_pos_as_xyz
'x,y,z'
loop_
_atom_site_label
_atom_site_fract_x
_atom_site_fract_y
_atom_site_fract_z
_atom_site_occupancy
Ba1 0.000 0.000 0.000 1
Ba2 0.301 0.301 0.843 1
Ba3 0.564 0.564 0.347 1
Ba4 0.918 0.918 0.610 1
Ca1 0.859 0.859 0.242 1
Rh1 0.232 0.232 0.483 1
Rh2 0.254 0.254 0.213 1
Rh3 0.602 0.602 0.689 1
Rh4 0.658 0.658 0.961 1
O1 0.010 0.510 0.078 1
O2 0.078 0.539 0.372 1
O3 0.085 0.085 0.290 1
O4 0.333 0.796 0.825 1
O5 0.378 0.882 0.561 1
O6 0.392 0.392 0.627 1
O7 0.510 0.010 0.078 1
O8 0.517 0.517 0.062 1
O9 0.539 0.078 0.372 1
O10 0.781 0.781 0.814 1
O11 0.796 0.333 0.825 1
O12 0.882 0.378 0.561 1
```

## Properties
The value obtained for the density of states at the Fermi level is 12.4 states/eV per cell. The total magnetization is 2.04 μB/f.u. Its space group is No. 8.


Model two:
Compound: Ba4CaRh4O12
Source: Alexandria via LeMat-Bulk
Functional: GGA-PBE
Structure: relaxed

CIF file:
```
data_Ba4CaRh4O12
_symmetry_space_group_name_H-M 'P 1'
_symmetry_Int_Tables_number 1
_cell_length_a 5.820
_cell_length_b 5.820
_cell_length_c 10.512
_cell_angle_alpha 90.00
_cell_angle_beta 90.00
_cell_angle_gamma 120.00
loop_
_symmetry_equiv_pos_as_xyz
'x,y,z'
loop_
_atom_site_label
_atom_site_fract_x
_atom_site_fract_y
_atom_site_fract_z
_atom_site_occupancy
Ba1 0.000 0.000 0.000 1
Ba2 0.000 0.000 0.386 1
Ba3 0.333 0.667 0.182 1
Ba4 0.667 0.333 0.630 1
Ca1 0.000 0.000 0.729 1
Rh1 0.333 0.667 0.506 1
Rh2 0.333 0.667 0.782 1
Rh3 0.667 0.333 0.010 1
Rh4 0.667 0.333 0.283 1
O1 0.006 0.503 0.390 1
O2 0.184 0.368 0.631 1
O3 0.184 0.816 0.631 1
O4 0.371 0.185 0.153 1
O5 0.497 0.503 0.390 1
O6 0.497 0.994 0.390 1
O7 0.512 0.024 0.869 1
O8 0.512 0.488 0.869 1
O9 0.632 0.816 0.631 1
O10 0.815 0.185 0.153 1
O11 0.815 0.629 0.153 1
O12 0.976 0.488 0.869 1
```

## Properties
The value obtained for the density of states at the Fermi level is 16.4 states/eV per cell. The total magnetization is 1.85 μB/f.u. Its space group is No. 156.


Model three:
Compound: Ba4CaRh4O12
Source: Alexandria via LeMat-Bulk
Functional: GGA-PBE
Structure: relaxed

CIF file:
```
data_Ba4CaRh4O12
_symmetry_space_group_name_H-M 'P 1'
_symmetry_Int_Tables_number 1
_cell_length_a 5.889
_cell_length_b 5.889
_cell_length_c 10.929
_cell_angle_alpha 98.01
_cell_angle_beta 98.01
_cell_angle_gamma 59.25
loop_
_symmetry_equiv_pos_as_xyz
'x,y,z'
loop_
_atom_site_label
_atom_site_fract_x
_atom_site_fract_y
_atom_site_fract_z
_atom_site_occupancy
Ba1 0.000 0.000 0.000 1
Ba2 0.195 0.195 0.394 1
Ba3 0.281 0.281 0.806 1
Ba4 0.569 0.569 0.586 1
Ca1 0.748 0.748 0.174 1
Rh1 0.472 0.472 0.221 1
Rh2 0.639 0.639 0.912 1
Rh3 0.872 0.872 0.439 1
Rh4 0.924 0.924 0.694 1
O1 0.049 0.049 0.566 1
O2 0.060 0.601 0.568 1
O3 0.134 0.652 0.302 1
O4 0.270 0.764 0.806 1
O5 0.508 0.986 0.007 1
O6 0.523 0.523 0.054 1
O7 0.601 0.060 0.568 1
O8 0.652 0.134 0.302 1
O9 0.666 0.666 0.360 1
O10 0.760 0.760 0.780 1
O11 0.764 0.270 0.806 1
O12 0.986 0.508 0.007 1
```

## Properties
The value obtained for the density of states at the Fermi level is 10.9 states/eV per cell. The total magnetization is 3.92 μB/f.u. Its space group is No. 8.


Bottom line: model one, by a margin of 42 meV/atom.


Model one:
Compound: Ba3CaRu2O9
Source: Alexandria via LeMat-Bulk
Functional: GGA-PBE
Structure: relaxed

CIF file:
```
data_Ba3CaRu2O9
_symmetry_space_group_name_H-M 'P 1'
_symmetry_Int_Tables_number 1
_cell_length_a 5.973
_cell_length_b 5.973
_cell_length_c 14.916
_cell_angle_alpha 90.00
_cell_angle_beta 90.00
_cell_angle_gamma 120.00
loop_
_symmetry_equiv_pos_as_xyz
'x,y,z'
loop_
_atom_site_label
_atom_site_fract_x
_atom_site_fract_y
_atom_site_fract_z
_atom_site_occupancy
Ba1 0.000 0.000 0.250 1
Ba2 0.000 0.000 0.750 1
Ba3 0.333 0.667 0.099 1
Ba4 0.333 0.667 0.401 1
Ba5 0.667 0.333 0.599 1
Ba6 0.667 0.333 0.901 1
Ca1 0.000 0.000 0.000 1
Ca2 0.000 0.000 0.500 1
Ru1 0.333 0.667 0.657 1
Ru2 0.333 0.667 0.843 1
Ru3 0.667 0.333 0.157 1
Ru4 0.667 0.333 0.343 1
O1 0.032 0.517 0.750 1
O2 0.175 0.352 0.591 1
O3 0.175 0.352 0.909 1
O4 0.177 0.825 0.591 1
O5 0.177 0.825 0.909 1
O6 0.352 0.175 0.091 1
O7 0.352 0.175 0.409 1
O8 0.483 0.515 0.750 1
O9 0.485 0.968 0.750 1
O10 0.515 0.483 0.250 1
O11 0.517 0.032 0.250 1
O12 0.648 0.823 0.591 1
O13 0.648 0.823 0.909 1
O14 0.823 0.648 0.091 1
O15 0.823 0.648 0.409 1
O16 0.825 0.177 0.091 1
O17 0.825 0.177 0.409 1
O18 0.968 0.485 0.250 1
```

## Properties
The value obtained for the density of states at the Fermi level is 2.7 states/eV per cell. The total magnetization is 6.05 μB/f.u. Its space group is No. 190.


Model two:
Compound: Ba3CaRu2O9
Source: Alexandria via LeMat-Bulk
Functional: GGA-PBE
Structure: relaxed

CIF file:
```
data_Ba3CaRu2O9
_symmetry_space_group_name_H-M 'P 1'
_symmetry_Int_Tables_number 1
_cell_length_a 5.895
_cell_length_b 5.895
_cell_length_c 7.276
_cell_angle_alpha 90.00
_cell_angle_beta 90.00
_cell_angle_gamma 120.00
loop_
_symmetry_equiv_pos_as_xyz
'x,y,z'
loop_
_atom_site_label
_atom_site_fract_x
_atom_site_fract_y
_atom_site_fract_z
_atom_site_occupancy
Ba1 0.000 0.000 0.000 1
Ba2 0.333 0.667 0.676 1
Ba3 0.667 0.333 0.324 1
Ca1 0.000 0.000 0.500 1
Ru1 0.333 0.667 0.165 1
Ru2 0.667 0.333 0.835 1
O1 0.000 0.500 0.000 1
O2 0.178 0.357 0.314 1
O3 0.178 0.822 0.314 1
O4 0.357 0.178 0.686 1
O5 0.500 0.000 0.000 1
O6 0.500 0.500 0.000 1
O7 0.643 0.822 0.314 1
O8 0.822 0.178 0.686 1
O9 0.822 0.643 0.686 1
```

## Properties
The value obtained for the density of states at the Fermi level is 7.7 states/eV per cell. The total magnetization is 5.55 μB/f.u. Its space group is No. 164.


Bottom line: model one, by a margin of 16 meV/atom.


Model one:
Compound: BaSrCaSeO6
Source: Alexandria via LeMat-Bulk
Functional: GGA-PBE
Structure: relaxed

CIF file:
```
data_BaSrCaSeO6
_symmetry_space_group_name_H-M 'P 1'
_symmetry_Int_Tables_number 1
_cell_length_a 5.909
_cell_length_b 5.909
_cell_length_c 5.909
_cell_angle_alpha 60.00
_cell_angle_beta 60.00
_cell_angle_gamma 60.00
loop_
_symmetry_equiv_pos_as_xyz
'x,y,z'
loop_
_atom_site_label
_atom_site_fract_x
_atom_site_fract_y
_atom_site_fract_z
_atom_site_occupancy
Ba1 0.000 0.000 0.000 1
Sr1 0.250 0.250 0.250 1
Ca1 0.500 0.500 0.500 1
Se1 0.750 0.750 0.750 1
O1 0.531 0.531 0.969 1
O2 0.531 0.969 0.531 1
O3 0.531 0.969 0.969 1
O4 0.969 0.531 0.531 1
O5 0.969 0.531 0.969 1
O6 0.969 0.969 0.531 1
```

## Properties
The value obtained for the density of states at the Fermi level is 0.0 states/eV per cell. The total magnetization is 0.00 μB/f.u. Its space group is No. 216.


Model two:
Compound: BaSrCaSeO6
Source: Alexandria via LeMat-Bulk
Functional: GGA-PBE
Structure: relaxed

CIF file:
```
data_BaSrCaSeO6
_symmetry_space_group_name_H-M 'P 1'
_symmetry_Int_Tables_number 1
_cell_length_a 5.806
_cell_length_b 5.806
_cell_length_c 5.806
_cell_angle_alpha 60.00
_cell_angle_beta 60.00
_cell_angle_gamma 60.00
loop_
_symmetry_equiv_pos_as_xyz
'x,y,z'
loop_
_atom_site_label
_atom_site_fract_x
_atom_site_fract_y
_atom_site_fract_z
_atom_site_occupancy
Ba1 0.000 0.000 0.000 1
Sr1 0.500 0.500 0.500 1
Ca1 0.750 0.750 0.750 1
Se1 0.250 0.250 0.250 1
O1 0.027 0.027 0.473 1
O2 0.027 0.473 0.027 1
O3 0.027 0.473 0.473 1
O4 0.473 0.027 0.027 1
O5 0.473 0.027 0.473 1
O6 0.473 0.473 0.027 1
```

## Properties
The value obtained for the density of states at the Fermi level is 0.0 states/eV per cell. The total magnetization is 0.00 μB/f.u. Its space group is No. 216.


Bottom line: model two, by a margin of 142 meV/atom.